# PBE-GGA Pm2GeAu2, optimized geometry
data_Pm2GeAu2
_chemical_formula_sum 'Pm8 Ge4 Au8'
_symmetry_space_group_name_H-M 'C 1 2/m 1'
_symmetry_Int_Tables_number 12
_symmetry_space_group_name_Hall '-C 2y'
_cell_length_a 10.933
_cell_length_b 4.345
_cell_length_c 11.261
_cell_angle_alpha 90.00
_cell_angle_beta 116.36
_cell_angle_gamma 90.00
loop_
_atom_site_label
_atom_site_type_symbol
_atom_site_fract_x
_atom_site_fract_y
_atom_site_fract_z
Pm1 Pm 0.014 0.000 0.343
Pm2 Pm 0.189 0.000 0.109
Ge1 Ge 0.214 0.500 0.329
Au1 Au 0.036 0.500 0.888
Au2 Au 0.147 0.500 0.564
# Total DFT energy (no corrections) (eV per atom): -4.92
# N(E_F) (states/eV/f.u.): 2.694